Compound: Rb3Ac2LaTe6
Source: Alexandria via LeMat-Bulk
Functional: PBE-GGA
Structure: relaxed

Output
Its raw formation energy is -1492 meV/atom. The volume is 43.4 Å³ per atom. The calculation puts the spin magnetization at 0.00 μB/f.u.

Geometry as CIF:
```
data_Rb3Ac2LaTe6
_symmetry_space_group_name_H-M 'C 1 2/m 1'
_symmetry_Int_Tables_number 12
_symmetry_space_group_name_Hall '-C 2y'
_cell_length_a 8.374
_cell_length_b 14.502
_cell_length_c 9.022
_cell_angle_alpha 90.00
_cell_angle_beta 108.04
_cell_angle_gamma 90.00
loop_
_atom_site_label
_atom_site_type_symbol
_atom_site_fract_x
_atom_site_fract_y
_atom_site_fract_z
Rb1 Rb 0.000 0.000 0.000
Rb2 Rb 0.000 0.332 0.000
Ac1 Ac 0.000 0.166 0.500
La1 La 0.000 0.500 0.500
Te1 Te 0.233 0.337 0.710
Te2 Te 0.244 0.000 0.711
```


Compound: Pm7ScCd4
Source: Alexandria via LeMat-Bulk
Functional: PBE-GGA
Structure: relaxed

Output
The volume is 30.1 Å³ per atom. The calculation puts the spin magnetization at 0.00 μB/f.u. The calculation puts the calculated formation energy at -26 meV per atom.

Geometry as CIF:
```
data_Pm7ScCd4
_symmetry_space_group_name_H-M 'C 1 2/m 1'
_symmetry_Int_Tables_number 12
_symmetry_space_group_name_Hall '-C 2y'
_cell_length_a 14.988
_cell_length_b 5.744
_cell_length_c 9.892
_cell_angle_alpha 90.00
_cell_angle_beta 122.02
_cell_angle_gamma 90.00
loop_
_atom_site_label
_atom_site_type_symbol
_atom_site_fract_x
_atom_site_fract_y
_atom_site_fract_z
Pm1 Pm 0.000 0.000 0.000
Pm2 Pm 0.071 0.500 0.409
Pm3 Pm 0.203 0.500 0.883
Pm4 Pm 0.242 0.000 0.701
Sc1 Sc 0.000 0.500 0.000
Cd1 Cd 0.042 0.000 0.711
Cd2 Cd 0.180 0.000 0.345
```


Compound: ZrNi2Cl2
Source: Alexandria via LeMat-Bulk
Functional: PBE-GGA
Structure: relaxed

Output
Its raw formation energy is -182 meV/atom. The volume is 20.8 Å³ per atom. The calculation puts the spin magnetization at 0.00 μB/f.u. Its energy relative to the lowest polymorph listed for this composition is 0.00 eV/f.u.

Geometry as CIF:
```
data_ZrNi2Cl2
_symmetry_space_group_name_H-M 'I 4/m m m'
_symmetry_Int_Tables_number 139
_symmetry_space_group_name_Hall '-I 4 2'
_cell_length_a 3.187
_cell_length_b 3.187
_cell_length_c 20.444
_cell_angle_alpha 90.00
_cell_angle_beta 90.00
_cell_angle_gamma 90.00
loop_
_atom_site_label
_atom_site_type_symbol
_atom_site_fract_x
_atom_site_fract_y
_atom_site_fract_z
Zr1 Zr 0.000 0.000 0.000
Ni1 Ni 0.000 0.500 0.250
Cl1 Cl 0.000 0.000 0.424
```


Compound: LiCuOs2
Source: Alexandria via LeMat-Bulk
Functional: PBE-GGA
Structure: relaxed

Output
The volume is 14.1 Å³ per atom. The calculation puts the spin magnetization at 0.00 μB/f.u. The calculation puts the calculated formation energy at 391 meV per atom. Its energy relative to the lowest polymorph listed for this composition is 0.80 eV/f.u.

Geometry as CIF:
```
data_LiCuOs2
_symmetry_space_group_name_H-M 'C m m 2'
_symmetry_Int_Tables_number 35
_symmetry_space_group_name_Hall 'C 2 -2'
_cell_length_a 2.756
_cell_length_b 4.530
_cell_length_c 9.059
_cell_angle_alpha 90.00
_cell_angle_beta 90.00
_cell_angle_gamma 90.00
loop_
_atom_site_label
_atom_site_type_symbol
_atom_site_fract_x
_atom_site_fract_y
_atom_site_fract_z
Li1 Li 0.000 0.000 0.000
Cu1 Cu 0.000 0.500 0.242
Os1 Os 0.000 0.000 0.495
Os2 Os 0.000 0.500 0.743
```


Compound: GaB2N2
Source: Alexandria via LeMat-Bulk
Functional: PBE-GGA
Structure: relaxed

Output
Its raw formation energy is -28 meV/atom. The volume is 15.1 Å³ per atom. The calculation puts the spin magnetization at 0.00 μB/f.u. Its energy relative to the lowest polymorph listed for this composition is 1.01 eV/f.u.

Geometry as CIF:
```
data_GaB2N2
_symmetry_space_group_name_H-M 'I 4/m m m'
_symmetry_Int_Tables_number 139
_symmetry_space_group_name_Hall '-I 4 2'
_cell_length_a 2.757
_cell_length_b 2.757
_cell_length_c 19.916
_cell_angle_alpha 90.00
_cell_angle_beta 90.00
_cell_angle_gamma 90.00
loop_
_atom_site_label
_atom_site_type_symbol
_atom_site_fract_x
_atom_site_fract_y
_atom_site_fract_z
Ga1 Ga 0.000 0.000 0.000
B1 B 0.000 0.500 0.250
N1 N 0.000 0.000 0.288
```


Compound: Ce3TmPu3
Source: Alexandria via LeMat-Bulk
Functional: PBE-GGA
Structure: relaxed

Output
The volume is 29.7 Å³ per atom. The calculation puts the spin magnetization at 17.85 μB/f.u. The calculation puts the calculated formation energy at 745 meV per atom.

Geometry as CIF:
```
data_Ce3TmPu3
_symmetry_space_group_name_H-M 'P m -3 n'
_symmetry_Int_Tables_number 223
_symmetry_space_group_name_Hall '-P 4n 2 3'
_cell_length_a 7.461
_cell_length_b 7.461
_cell_length_c 7.461
_cell_angle_alpha 90.00
_cell_angle_beta 90.00
_cell_angle_gamma 90.00
loop_
_atom_site_label
_atom_site_type_symbol
_atom_site_fract_x
_atom_site_fract_y
_atom_site_fract_z
Ce1 Ce 0.000 0.250 0.500
Tm1 Tm 0.000 0.000 0.000
Pu1 Pu 0.000 0.500 0.250
```


Compound: BaSrPtPbCl
Source: Alexandria via LeMat-Bulk
Functional: PBE-GGA
Structure: relaxed

Output
Its raw formation energy is -1122 meV/atom. The volume is 35.0 Å³ per atom. The calculation puts the spin magnetization at 0.00 μB/f.u. Its energy relative to the lowest polymorph listed for this composition is 0.33 eV/f.u.

Geometry as CIF:
```
data_BaSrPtPbCl
_symmetry_space_group_name_H-M 'P 1'
_symmetry_Int_Tables_number 1
_symmetry_space_group_name_Hall 'P 1'
_cell_length_a 5.036
_cell_length_b 6.135
_cell_length_c 6.205
_cell_angle_alpha 89.91
_cell_angle_beta 89.94
_cell_angle_gamma 65.80
loop_
_atom_site_label
_atom_site_type_symbol
_atom_site_fract_x
_atom_site_fract_y
_atom_site_fract_z
Ba1 Ba 0.000 0.000 0.000
Sr1 Sr 0.310 0.381 0.499
Pt1 Pt 0.013 0.974 0.500
Pb1 Pb 0.608 0.785 0.504
Cl1 Cl 0.305 0.391 0.001
```


Compound: YMnTc2
Source: Alexandria via LeMat-Bulk
Functional: PBE-GGA
Structure: relaxed

Output
The volume is 17.3 Å³ per atom. The calculation puts the spin magnetization at 3.89 μB/f.u. The calculation puts the calculated formation energy at 430 meV per atom. Its energy relative to the lowest polymorph listed for this composition is 1.08 eV/f.u.

Geometry as CIF:
```
data_YMnTc2
_symmetry_space_group_name_H-M 'P 4/m m m'
_symmetry_Int_Tables_number 123
_symmetry_space_group_name_Hall '-P 4 2'
_cell_length_a 3.931
_cell_length_b 3.931
_cell_length_c 4.477
_cell_angle_alpha 90.00
_cell_angle_beta 90.00
_cell_angle_gamma 90.00
loop_
_atom_site_label
_atom_site_type_symbol
_atom_site_fract_x
_atom_site_fract_y
_atom_site_fract_z
Y1 Y 0.000 0.000 0.000
Mn1 Mn 0.500 0.500 0.000
Tc1 Tc 0.000 0.500 0.500
```